{
  "formula": "Tm8Ge3Se4S",
  "functional": "PBE-GGA",
  "state": "relaxed",
  "magnetic_moment_mub_per_cell": 0.00,
  "sg": "R-3m",
  "e_form_raw_ev_per_atom": -1.498,
  "n_ef_per_ev_fu": 2.48,
  "crystal_system": "trigonal",
  "cell": [[8.079, 0.000, 0.000], [0.000, 8.104, 0.012], [-4.040, -4.036, 5.716]],
  "species": ["Ge", "Ge", "Ge", "Tm", "Tm", "Tm", "Tm", "Tm", "Tm", "Tm", "Tm", "S", "Se", "Se", "Se", "Se"],
  "fractional_positions": [[0.500, 0.500, 0.000], [0.000, 0.500, 0.500], [0.500, 0.500, 0.500], [0.258, 0.266, 0.012], [0.746, 0.737, 0.491], [0.254, 0.263, 0.509], [0.246, 0.734, 0.493], [0.742, 0.734, 0.988], [0.754, 0.266, 0.507], [0.246, 0.734, 0.988], [0.754, 0.266, 0.012], [0.000, 0.500, 0.000], [0.500, 0.000, 0.000], [0.000, 0.000, 0.000], [0.500, 0.000, 0.500], [0.000, 0.000, 0.500]]
}

***

{
  "formula": "AlAs4F2",
  "functional": "PBE-GGA",
  "state": "relaxed",
  "magnetic_moment_mub_per_cell": 0.00,
  "sg": "I4/mmm",
  "e_form_raw_ev_per_atom": -0.143,
  "n_ef_per_ev_fu": 5.38,
  "crystal_system": "tetragonal",
  "cell": [[4.537, 0.000, 0.000], [0.000, 4.537, 0.000], [2.268, 2.268, 9.354]],
  "species": ["F", "F", "As", "As", "As", "As", "Al"],
  "fractional_positions": [[0.348, 0.348, 0.305], [0.652, 0.652, 0.695], [0.748, 0.748, 0.504], [0.000, 0.500, 0.000], [0.500, 0.000, 0.000], [0.252, 0.252, 0.496], [0.000, 0.000, 0.000]]
}

***

{
  "formula": "Cd2In3I8",
  "functional": "PBE-GGA",
  "state": "relaxed",
  "magnetic_moment_mub_per_cell": 0.00,
  "sg": "R-3m",
  "de_polymorph_kj_per_mol_atoms": 6.0,
  "e_form_raw_ev_per_atom": -0.404,
  "n_ef_per_ev_fu": 5.85,
  "crystal_system": "trigonal",
  "cell": [[-3.814, -3.127, 7.394], [-7.642, -4.509, -0.507], [0.683, -10.077, 1.432]],
  "species": ["I", "I", "I", "I", "I", "I", "I", "I", "Cd", "Cd", "In", "In", "In"],
  "fractional_positions": [[0.746, 0.213, 0.294], [0.704, 0.704, 0.889], [0.746, 0.746, 0.294], [0.787, 0.254, 0.706], [0.213, 0.746, 0.294], [0.296, 0.296, 0.111], [0.254, 0.787, 0.706], [0.254, 0.254, 0.706], [0.597, 0.597, 0.210], [0.403, 0.403, 0.790], [0.000, 0.000, 0.000], [0.820, 0.820, 0.540], [0.180, 0.180, 0.460]]
}

***

{
  "formula": "TiAuCO2",
  "functional": "PBE-GGA",
  "state": "relaxed",
  "magnetic_moment_mub_per_cell": 1.10,
  "sg": "P4/mmm",
  "e_form_raw_ev_per_atom": 1.360,
  "n_ef_per_ev_fu": 4.54,
  "crystal_system": "tetragonal",
  "cell": [[-1.779, -2.813, 1.683], [4.521, -0.605, 3.769], [-1.620, 2.419, 2.331]],
  "species": ["Ti", "O", "O", "C", "Au"],
  "fractional_positions": [[0.000, 0.500, 0.000], [0.500, 0.000, 0.000], [0.000, 0.000, 0.500], [0.500, 0.500, 0.500], [0.000, 0.000, 0.000]]
}

***

Repeat the fourth record exactly.
{
  "formula": "TiAuCO2",
  "functional": "PBE-GGA",
  "state": "relaxed",
  "magnetic_moment_mub_per_cell": 1.10,
  "sg": "P4/mmm",
  "e_form_raw_ev_per_atom": 1.360,
  "n_ef_per_ev_fu": 4.54,
  "crystal_system": "tetragonal",
  "cell": [[-1.779, -2.813, 1.683], [4.521, -0.605, 3.769], [-1.620, 2.419, 2.331]],
  "species": ["Ti", "O", "O", "C", "Au"],
  "fractional_positions": [[0.000, 0.500, 0.000], [0.500, 0.000, 0.000], [0.000, 0.000, 0.500], [0.500, 0.500, 0.500], [0.000, 0.000, 0.000]]
}